1.
Material: YAuCl2
Method: DFT, PBE
State: optimized geometry

## Properties
* DFT total energy: -4.420 eV/atom
* calculated volume: 26.8 A^3/atom
* energy relative to the lowest polymorph listed for this composition: 393 meV/atom
* calculated density: 5.5 g/cm³
* size of the total moment: 0.2 μB/cell
* formation energy (no corrections): -1.06 eV/atom

Cell: 3.2651 3.2651 10.0394 Å, 90.00 90.00 90.00°
With the nearest neighbours (Å) after each atom.
Fractional coordinates of all 4 atoms:
Y1 0.0000 0.0000 0.0000  8 Cl 2.81
Au1 0.0000 0.0000 0.5000  4 Au 3.27
Cl1 0.5000 0.5000 0.1593  4 Y 2.81
Cl2 0.5000 0.5000 0.8407  4 Y 2.81

---

2.
Material: KAg2Au
Method: DFT, PBE
State: optimized geometry

## Properties
* DFT formation energy: 0.05 eV/atom
* DFT total energy: -2.468 eV/atom
* calculated volume: 23.3 A^3/atom
* energy relative to the lowest polymorph listed for this composition: 155 meV/atom
* calculated density: 8.1 g/cm³
* size of the total moment: 0.0 μB/cell

Cell: 6.4915 6.4915 6.4915 Å, 153.50 129.80 57.65°
With the nearest neighbours (Å) after each atom.
Fractional coordinates of all 4 atoms:
K1 0.0000 0.0000 0.0000  2 K 2.98, 4 Au 3.13
Ag1 0.2846 0.7846 0.5000  2 Au 2.87, 2 Ag 2.98
Ag2 0.7154 0.2154 0.5000  2 Au 2.87, 2 Ag 2.98
Au1 0.5000 0.5000 0.0000  4 Ag 2.87, 2 Au 2.98, 4 K 3.13

---

3.
Material: CrGa2Ru
Method: DFT, PBE
State: optimized geometry

## Properties
* DFT formation energy: -0.11 eV/atom
* DFT total energy: -6.350 eV/atom
* calculated volume: 14.0 A^3/atom
* calculated density: 8.7 g/cm³
* size of the total moment: 3.0 μB/cell

Cell: 4.2333 4.2333 3.1323 Å, 90.00 90.00 90.00°
With the nearest neighbours (Å) after each atom.
Fractional coordinates of all 4 atoms:
Cr1 0.0000 0.0000 0.0000  8 Ga 2.63
Ga1 0.0000 0.5000 0.5000  4 Ru 2.63, 4 Cr 2.63
Ga2 0.5000 0.0000 0.5000  4 Ru 2.63, 4 Cr 2.63
Ru1 0.5000 0.5000 0.0000  8 Ga 2.63

---

4.
Material: Tc2MoRhC
Method: DFT, PBE
State: optimized geometry

## Properties
* DFT formation energy: 0.10 eV/atom
* DFT total energy: -9.528 eV/atom
* calculated volume: 13.5 A^3/atom
* calculated density: 10.0 g/cm³
* size of the total moment: 0.0 μB/cell

Cell: 4.0434 4.0434 4.1243 Å, 90.00 90.00 90.00°
With the nearest neighbours (Å) after each atom.
Fractional coordinates of all 5 atoms:
Tc1 0.0000 0.5000 0.0000  2 C 2.02
Tc2 0.5000 0.0000 0.0000  2 C 2.02
Mo1 0.0000 0.0000 0.5000  2 C 2.06
Rh1 0.5000 0.5000 0.5000  4 Mo 2.86, 8 Tc 2.89
C1 0.0000 0.0000 0.0000  4 Tc 2.02, 2 Mo 2.06

---

5.
Material: Cd2PbBr
Method: DFT, PBE
State: optimized geometry

## Properties
* DFT total energy: -1.927 eV/atom
* calculated volume: 27.7 A^3/atom
* energy relative to the lowest polymorph listed for this composition: 55 meV/atom
* calculated density: 7.7 g/cm³
* size of the total moment: 0.0 μB/cell
* formation energy (no corrections): -0.12 eV/atom

Cell: 6.1899 6.1899 5.8405 Å, 117.17 117.17 34.31°
With the nearest neighbours (Å) after each atom.
Fractional coordinates of all 4 atoms:
Cd1 0.0000 0.0000 0.0000  2 Cd 2.99, 2 Br 3.04
Cd2 0.7282 0.7282 0.2227  2 Cd 2.99, 2 Pb 3.23
Pb1 0.4846 0.4846 0.4877  6 Cd 3.23-3.46, 2 Br 3.45
Br1 0.2668 0.2668 0.7617  2 Cd 3.04

---

6.
Material: LaSc2Cd
Method: DFT, PBE
State: optimized geometry

## Properties
* DFT formation energy: 0.18 eV/atom
* DFT total energy: -4.442 eV/atom
* calculated volume: 28.0 A^3/atom
* calculated density: 5.1 g/cm³
* size of the total moment: 0.0 μB/cell

Cell: 11.3591 11.3591 11.3591 Å, 156.97 156.97 32.80°
With the nearest neighbours (Å) after each atom.
Fractional coordinates of all 8 atoms:
La1 0.0000 0.0000 0.0000  4 Sc 3.18, 4 Cd 3.21
La2 0.7500 0.2500 0.5000  4 Sc 3.18, 4 Cd 3.21
Sc1 0.1371 0.6250 0.0121  4 Sc 3.13-3.29, 2 Cd 3.14, 2 La 3.18
Sc2 0.3750 0.3871 0.5121  4 Sc 3.13-3.29, 2 Cd 3.14, 2 La 3.18
Sc3 0.6129 0.1250 0.9879  4 Sc 3.13-3.29, 2 Cd 3.14, 2 La 3.18
Sc4 0.8750 0.8629 0.4879  4 Sc 3.13-3.29, 2 Cd 3.14, 2 La 3.18
Cd1 0.2500 0.7500 0.5000  4 Sc 3.14, 4 La 3.21
Cd2 0.5000 0.5000 0.0000  4 Sc 3.14, 4 La 3.21

---

7.
Material: PuThTc
Method: DFT, PBE
State: optimized geometry

## Properties
* DFT formation energy: 0.23 eV/atom
* DFT total energy: -10.480 eV/atom
* calculated volume: 24.4 A^3/atom
* energy relative to the lowest polymorph listed for this composition: 211 meV/atom
* calculated density: 13.0 g/cm³
* size of the total moment: 17.2 μB/cell

Cell: 6.3373 6.3373 7.4612 Å, 90.00 90.00 78.10°
With the nearest neighbours (Å) after each atom.
Fractional coordinates of all 12 atoms:
Pu1 0.0785 0.9215 0.8489  2 Tc 2.46-2.50, 1 Pu 2.58
Pu2 0.4215 0.5785 0.3489  2 Tc 2.46-2.50, 1 Pu 2.58
Pu3 0.5785 0.4215 0.6511  2 Tc 2.46-2.50, 1 Pu 2.58
Pu4 0.9215 0.0785 0.1511  2 Tc 2.46-2.50, 1 Pu 2.58
Th1 0.1070 0.3930 0.7500  4 Pu 3.12-3.40, 4 Tc 3.21-3.36
Th2 0.3930 0.1070 0.2500  4 Pu 3.12-3.40, 4 Tc 3.21-3.36
Th3 0.6070 0.8930 0.7500  4 Pu 3.12-3.40, 4 Tc 3.21-3.36
Th4 0.8930 0.6070 0.2500  4 Pu 3.12-3.40, 4 Tc 3.21-3.36
Tc1 0.1610 0.8390 0.5261  2 Pu 2.46-2.50, 1 Tc 2.60
Tc2 0.3390 0.6610 0.0261  2 Pu 2.46-2.50, 1 Tc 2.60
Tc3 0.6610 0.3390 0.9739  2 Pu 2.46-2.50, 1 Tc 2.60
Tc4 0.8390 0.1610 0.4739  2 Pu 2.46-2.50, 1 Tc 2.60

---

8.
Material: TbHo4Ni
Method: DFT, PBE
State: optimized geometry

## Properties
* DFT formation energy: -0.01 eV/atom
* DFT total energy: -4.799 eV/atom
* calculated volume: 30.0 A^3/atom
* calculated density: 8.1 g/cm³
* size of the total moment: 0.0 μB/cell

Cell: 9.3244 9.3244 7.3531 Å, 90.00 90.00 145.71°
With the nearest neighbours (Å) after each atom.
Fractional coordinates of all 12 atoms:
Tb1 0.1154 0.8846 0.7500  12 Ho 3.64-3.89
Tb2 0.8846 0.1154 0.2500  12 Ho 3.64-3.89
Ho1 0.1173 0.8827 0.2500  2 Ni 2.77
Ho2 0.2982 0.7018 0.0010  1 Ni 2.60
Ho3 0.2982 0.7018 0.4990  1 Ni 2.60
Ho4 0.5000 0.5000 0.0000  2 Ni 2.55
Ho5 0.5000 0.5000 0.5000  2 Ni 2.55
Ho6 0.7018 0.2982 0.5010  1 Ni 2.60
Ho7 0.7018 0.2982 0.9990  1 Ni 2.60
Ho8 0.8827 0.1173 0.7500  2 Ni 2.77
Ni1 0.4008 0.5992 0.7500  6 Ho 2.55-2.77
Ni2 0.5992 0.4008 0.2500  6 Ho 2.55-2.77

---

9.
Material: Tb6NdY4
Method: DFT, PBE
State: optimized geometry

## Properties
* DFT formation energy: 0.32 eV/atom
* DFT total energy: -4.985 eV/atom
* calculated volume: 34.1 A^3/atom
* energy relative to the lowest polymorph listed for this composition: 0 meV/atom
* calculated density: 6.4 g/cm³
* size of the total moment: 0.0 μB/cell

Cell: 9.7845 9.7845 9.7845 Å, 140.55 140.55 57.02°
With the nearest neighbours (Å) after each atom.
Fractional coordinates of all 11 atoms:
Tb1 0.0000 0.5000 0.5000  2 Nd 3.30, 4 Y 3.33
Tb2 0.0139 0.6415 0.0000  5 Y 3.36-3.53, 1 Nd 3.44, 1 Tb 3.48
Tb3 0.3585 0.3585 0.3723  5 Y 3.36-3.53, 1 Nd 3.44, 1 Tb 3.48
Tb4 0.5000 0.0000 0.5000  2 Nd 3.30, 4 Y 3.33
Tb5 0.6415 0.0139 0.0000  5 Y 3.36-3.53, 1 Nd 3.44, 1 Tb 3.48
Tb6 0.9861 0.9861 0.6277  5 Y 3.36-3.53, 1 Nd 3.44, 1 Tb 3.48
Nd1 0.0000 0.0000 0.0000  8 Tb 3.30-3.44
Y1 0.1880 0.1880 0.6411  7 Tb 3.33-3.53, 1 Y 3.35
Y2 0.4531 0.8120 0.0000  7 Tb 3.33-3.53, 1 Y 3.35
Y3 0.5469 0.5469 0.3589  7 Tb 3.33-3.53, 1 Y 3.35
Y4 0.8120 0.4531 0.0000  7 Tb 3.33-3.53, 1 Y 3.35

---

10.
Material: La2Tl2Cd15
Method: DFT, PBE
State: optimized geometry

## Properties
* DFT formation energy: -0.16 eV/atom
* DFT total energy: -1.649 eV/atom
* calculated volume: 24.3 A^3/atom
* calculated density: 8.5 g/cm³
* size of the total moment: 0.0 μB/cell

Cell: 7.7696 7.7696 7.7696 Å, 83.97 83.97 83.97°
With the nearest neighbours (Å) after each atom.
Fractional coordinates of all 19 atoms:
La1 0.1675 0.1675 0.1675  1 Tl 3.39, 9 Cd 3.59-3.63
La2 0.8325 0.8325 0.8325  1 Tl 3.39, 9 Cd 3.59-3.63
Tl1 0.3967 0.3967 0.3967  1 Tl 3.06, 6 Cd 3.14-3.37, 1 La 3.39
Tl2 0.6033 0.6033 0.6033  1 Tl 3.06, 6 Cd 3.14-3.37, 1 La 3.39
Cd1 0.0000 0.5000 0.5000  8 Cd 2.95-3.09, 2 Tl 3.14
Cd2 0.1434 0.1434 0.6710  8 Cd 2.87-3.15
Cd3 0.1434 0.6710 0.1434  8 Cd 2.87-3.15
Cd4 0.1902 0.5000 0.8098  8 Cd 2.95-3.22
Cd5 0.1902 0.8098 0.5000  8 Cd 2.95-3.22
Cd6 0.3290 0.8566 0.8566  8 Cd 2.87-3.15
Cd7 0.5000 0.0000 0.5000  8 Cd 2.95-3.09, 2 Tl 3.14
Cd8 0.5000 0.1902 0.8098  8 Cd 2.95-3.22
Cd9 0.5000 0.5000 0.0000  8 Cd 2.95-3.09, 2 Tl 3.14
Cd10 0.5000 0.8098 0.1902  8 Cd 2.95-3.22
Cd11 0.6710 0.1434 0.1434  8 Cd 2.87-3.15
Cd12 0.8098 0.1902 0.5000  8 Cd 2.95-3.22
Cd13 0.8098 0.5000 0.1902  8 Cd 2.95-3.22
Cd14 0.8567 0.3290 0.8567  8 Cd 2.87-3.15
Cd15 0.8567 0.8566 0.3290  8 Cd 2.87-3.15

---

11.
Material: OsSe3F
Method: DFT, PBE
State: optimized geometry

## Properties
* DFT total energy: -4.930 eV/atom
* calculated volume: 25.4 A^3/atom
* energy relative to the lowest polymorph listed for this composition: 0 meV/atom
* calculated density: 5.8 g/cm³
* size of the total moment: 0.0 μB/cell
* formation energy (no corrections): -0.22 eV/atom

Cell: 4.3721 7.9195 8.5269 Å, 62.90 75.50 79.36°
With the nearest neighbours (Å) after each atom.
Fractional coordinates of all 10 atoms:
Os1 0.1531 0.0512 0.1717  5 Se 2.33-2.58
Os2 0.8469 0.9488 0.8283  5 Se 2.33-2.58
Se1 0.0280 0.2849 0.2812  1 F 1.95
Se2 0.1802 0.7516 0.4126  1 Os 2.33, 1 Se 2.44
Se3 0.3023 0.8652 0.9777  3 Os 2.45-2.58
Se4 0.6977 0.1348 0.0223  3 Os 2.45-2.58
Se5 0.8198 0.2484 0.5874  1 Os 2.33, 1 Se 2.44
Se6 0.9720 0.7151 0.7188  1 F 1.95
F1 0.4422 0.3446 0.2805  1 Se 1.95
F2 0.5578 0.6554 0.7195  1 Se 1.95